Entry 1:
Pa3AlRu after structural relaxation, computed with PBE-GGA.

Calculated values
Spin magnetization ... 0.00 Bohr magnetons per cell
Theoretical density ... 12.48 Mg/m³
Energy relative to the elements ... -0.173 eV/atom

Cell: 6.8045 6.2501 10.4040 Å, 90.00 99.00 90.00°
With the nearest neighbours (Å) after each atom.
Space group P2/c (No. 13)
Symmetry-distinct sites (fractional):
Pa 0.0473 0.2384 0.0048 [4 per cell]  1 Ru 2.64, 1 Pa 2.90
Pa 0.2212 0.4838 0.7887 [4 per cell]  2 Ru 2.85-2.94, 3 Pa 2.99-3.12, 2 Al 3.09-3.16
Pa 0.3804 0.2223 0.5715 [4 per cell]  1 Ru 2.61, 1 Pa 2.90
Al 0.2145 0.0216 0.2872 [4 per cell]  2 Ru 2.81-2.93, 1 Al 2.90, 3 Pa 3.07-3.14
Ru 0.4202 0.2610 0.1227 [4 per cell]  3 Pa 2.61-2.85, 1 Ru 2.70, 2 Al 2.81-2.93

Entry 2:
PaAl4Ru after structural relaxation, computed with PBE-GGA.

Calculated values
Spin magnetization ... 0.00 Bohr magnetons per cell
Theoretical density ... 6.78 Mg/m³
Energy relative to the elements ... -0.473 eV/atom

Cell: 7.5804 4.1713 6.8161 Å, 90.00 90.00 90.00°
With the nearest neighbours (Å) after each atom.
Space group Pmma (No. 51)
Symmetry-distinct sites (fractional):
Pa 0.2500 0.0000 0.1253 [2 per cell]  1 Ru 2.74
Al 0.0000 0.0000 0.5000 [2 per cell]  2 Ru 2.43
Al 0.0619 0.5000 0.8131 [4 per cell]  2 Ru 2.60, 3 Al 2.71-2.85
Al 0.2500 0.5000 0.4583 [2 per cell]  2 Ru 2.76, 8 Al 2.81-3.00, 2 Pa 3.08
Ru 0.2500 0.0000 0.7228 [2 per cell]  6 Al 2.43-2.60

Entry 3:
PaAl10Ru2 after structural relaxation, computed with PBE-GGA.

Calculated values
Spin magnetization ... 1.71 Bohr magnetons per cell
Theoretical density ... 5.51 Mg/m³
Energy relative to the elements ... -0.460 eV/atom

Cell: 9.0050 10.2870 9.1408 Å, 90.00 90.00 90.00°
With the nearest neighbours (Å) after each atom.
Space group Cmcm (No. 63)
Symmetry-distinct sites (fractional):
Pa 0.0000 0.1240 0.2500 [4 per cell]  14 Al 3.16-3.29, 4 Ru 3.46
Al 0.0000 0.1551 0.6017 [8 per cell]  2 Ru 2.62, 8 Al 2.67-2.92
Al 0.0000 0.3766 0.0496 [8 per cell]  2 Ru 2.64, 6 Al 2.67-2.85
Al 0.1490 0.3697 0.7500 [8 per cell]  7 Al 2.68-2.92, 2 Ru 2.75
Al 0.2211 0.0000 0.0000 [8 per cell]  2 Ru 2.58, 6 Al 2.70-2.85
Al 0.2261 0.3673 0.2500 [8 per cell]  2 Ru 2.59, 8 Al 2.68-2.82
Ru 0.2500 0.2500 0.0000 [8 per cell]  10 Al 2.58-2.75

Entry 4:
Pa2AlRu after structural relaxation, computed with PBE-GGA.

Calculated values
Spin magnetization ... 0.00 Bohr magnetons per cell
Theoretical density ... 11.52 Mg/m³
Energy relative to the elements ... -0.307 eV/atom
E above lowest polymorph ... 0 meV/atom

Cell: 5.5626 5.7157 11.8071 Å, 90.00 115.01 90.00°
With the nearest neighbours (Å) after each atom.
Space group P2_1/c (No. 14)
Symmetry-distinct sites (fractional):
Pa 0.0105 0.2403 0.4027 [4 per cell]  1 Ru 2.64, 1 Pa 2.90
Pa 0.3292 0.6521 0.8902 [4 per cell]  2 Ru 2.70-2.83, 1 Pa 2.90, 1 Al 2.99
Al 0.2500 0.2471 0.2037 [4 per cell]  2 Ru 2.52-2.54
Ru 0.4194 0.5604 0.5999 [4 per cell]  2 Al 2.52-2.54, 2 Pa 2.64-2.70